Compound: CaNdSbPt
Source: Alexandria
Functional: GGA-PBE
Structure: optimized geometry Values from VASP.

Geometry as Quantum ESPRESSO input:
```
&SYSTEM
  ibrav = 0, nat = 4, ntyp = 4
/
ATOMIC_SPECIES
Pt 195.08 Pt.upf
Ca 40.08 Ca.upf
Nd 144.24 Nd.upf
Sb 121.76 Sb.upf
ATOMIC_POSITIONS angstrom
Pt 2.6310 1.5190 1.0741
Ca 0.0000 0.0000 0.0000
Nd 5.2619 3.0380 2.1482
Sb 7.8929 4.5569 3.2223
CELL_PARAMETERS angstrom
5.2619 0.0000 0.0000
2.6310 4.5569 0.0000
2.6310 1.5190 4.2963
```

Summary:
Its magnetic moment is 0.00 μB/f.u. For the formation energy from raw total energies, the calculation gives -0.91 eV/atom.